Computed, not measured: a relaxed structure of Pm3ErGa3 at the PBE-GGA level of DFT.

## Properties
formation enthalpy at 0 K: -0.356 eV per atom
N(E_F): 0.96 states/eV/atom
symmetry: No. 12

Unit cell a=7.2646 b=7.2646 c=7.3984 alpha=90.62 beta=90.62 gamma=98.45
Fractional coordinates of all 14 atoms:
Er: 0.2720 0.2720 0.1227
Er: 0.7280 0.7280 0.8773
Ga: 0.4994 0.0054 0.2594
Ga: 0.9946 0.5006 0.7406
Ga: 0.0054 0.4994 0.2594
Ga: 0.0397 0.0397 0.8035
Ga: 0.9603 0.9603 0.1965
Ga: 0.5006 0.9946 0.7406
Pm: 0.8118 0.1882 0.5000
Pm: 0.7469 0.2531 0.0000
Pm: 0.1882 0.8118 0.5000
Pm: 0.6563 0.6563 0.3571
Pm: 0.3437 0.3437 0.6429
Pm: 0.2531 0.7469 0.0000

***

Computed, not measured: a relaxed structure of Pm3Er2Ga3 at the PBE-GGA level of DFT.

## Properties
formation enthalpy at 0 K: -0.427 eV per atom
N(E_F): 0.82 states/eV/atom
symmetry: No. 71

Unit cell a=3.6820 b=5.2391 c=11.3525 alpha=103.34 beta=99.33 gamma=90.00
Fractional coordinates of all 8 atoms:
Er: 0.7291 0.2291 0.4583
Er: 0.2709 0.7709 0.5417
Pm: 0.6189 0.6189 0.2378
Pm: 0.3811 0.3811 0.7622
Pm: 0.5000 0.0000 0.0000
Ga: 0.8790 0.8790 0.7580
Ga: 0.1210 0.1210 0.2420
Ga: 0.0000 0.5000 0.0000

***

Computed, not measured: a relaxed structure of PmErGa2 at the PBE-GGA level of DFT.

## Properties
formation enthalpy at 0 K: -0.610 eV per atom
N(E_F): 0.77 states/eV/atom
symmetry: No. 6

Unit cell a=4.3926 b=4.0849 c=5.9299 alpha=90.00 beta=111.70 gamma=90.00
Fractional coordinates of all 4 atoms:
Ga: 0.0104 0.0000 0.5580
Ga: 0.1591 0.5000 0.8591
Pm: 0.4422 0.5000 0.4222
Er: 0.7192 0.0000 0.9788

***

Computed, not measured: a relaxed structure of PmErGa at the PBE-GGA level of DFT.

## Properties
formation enthalpy at 0 K: -0.387 eV per atom
polymorph energy (0 for the lowest one): 0.022 eV/atom
N(E_F): 0.89 states/eV/atom
symmetry: No. 8

Unit cell a=3.6914 b=5.2601 c=8.4581 alpha=90.04 beta=102.60 gamma=90.00
Fractional coordinates of all 6 atoms:
Pm: 0.8541 0.5264 0.3938
Pm: 0.0061 0.0245 0.6992
Ga: 0.3493 0.0274 0.3845
Ga: 0.5108 0.5245 0.7085
Er: 0.7069 0.0251 0.1001
Er: 0.1533 0.5246 0.9930

***

Computed, not measured: a relaxed structure of PmErGa2 at the PBE-GGA level of DFT.

## Properties
formation enthalpy at 0 K: -0.580 eV per atom
N(E_F): 0.40 states/eV/atom
symmetry: No. 123

Unit cell a=3.6063 b=3.6063 c=7.1837 alpha=90.00 beta=90.00 gamma=90.00
Fractional coordinates of all 4 atoms:
Ga: 0.0000 0.0000 0.2351
Ga: 0.0000 0.0000 0.7649
Er: 0.5000 0.5000 0.0000
Pm: 0.5000 0.5000 0.5000

***

Computed, not measured: a relaxed structure of Pm2ErGa at the PBE-GGA level of DFT.

## Properties
formation enthalpy at 0 K: 0.029 eV per atom
polymorph energy (0 for the lowest one): 0.291 eV/atom
N(E_F): 1.39 states/eV/atom
symmetry: No. 166

Unit cell a=3.5388 b=3.5388 c=11.6388 alpha=81.26 beta=81.26 gamma=60.00
Fractional coordinates of all 4 atoms:
Pm: 0.1010 0.1010 0.6969
Pm: 0.8990 0.8990 0.3031
Er: 0.0000 0.0000 0.0000
Ga: 0.5000 0.5000 0.5000

***

Computed, not measured: a relaxed structure of Pm3ErGa2 at the PBE-GGA level of DFT.

## Properties
formation enthalpy at 0 K: -0.334 eV per atom
polymorph energy (0 for the lowest one): 0.071 eV/atom
N(E_F): 0.93 states/eV/atom
symmetry: No. 12

Unit cell a=4.5450 b=10.0765 c=9.2622 alpha=124.90 beta=90.00 gamma=103.03
Fractional coordinates of all 12 atoms:
Ga: 0.2337 0.4674 0.7513
Ga: 0.4938 0.9876 0.1303
Ga: 0.5062 0.0124 0.8697
Ga: 0.7663 0.5326 0.2487
Er: 0.1171 0.2343 0.0943
Er: 0.8829 0.7657 0.9057
Pm: 0.9570 0.9140 0.6027
Pm: 0.3207 0.6414 0.5709
Pm: 0.0430 0.0860 0.3973
Pm: 0.6793 0.3586 0.4291
Pm: 0.6512 0.3025 0.8239
Pm: 0.3488 0.6975 0.1761

***

Computed, not measured: a relaxed structure of PmErGa3 at the PBE-GGA level of DFT.

## Properties
formation enthalpy at 0 K: -0.661 eV per atom
N(E_F): 0.63 states/eV/atom
symmetry: No. 63

Unit cell a=4.1913 b=4.2485 c=12.9793 alpha=99.42 beta=90.00 gamma=90.00
Fractional coordinates of all 10 atoms:
Ga: 0.7500 0.5243 0.0485
Ga: 0.2500 0.6778 0.3556
Ga: 0.2500 0.4757 0.9515
Ga: 0.2500 0.3791 0.7582
Ga: 0.7500 0.6209 0.2418
Ga: 0.7500 0.3222 0.6444
Er: 0.7500 0.2040 0.4081
Er: 0.2500 0.7960 0.5919
Pm: 0.2500 0.0737 0.1473
Pm: 0.7500 0.9263 0.8527

***

Computed, not measured: a relaxed structure of PmEr2Ga at the PBE-GGA level of DFT.

## Properties
formation enthalpy at 0 K: -0.250 eV per atom
polymorph energy (0 for the lowest one): 0.040 eV/atom
N(E_F): 1.29 states/eV/atom
symmetry: No. 63

Unit cell a=4.2837 b=6.3815 c=8.8965 alpha=90.00 beta=90.00 gamma=109.60
Fractional coordinates of all 8 atoms:
Er: 0.3550 0.7101 0.5560
Er: 0.6450 0.2899 0.4440
Er: 0.6450 0.2899 0.0560
Er: 0.3550 0.7101 0.9440
Pm: 0.0593 0.1186 0.7500
Pm: 0.9407 0.8814 0.2500
Ga: 0.2492 0.4985 0.2500
Ga: 0.7508 0.5015 0.7500

***

Computed, not measured: a relaxed structure of PmEr6Ga3 at the PBE-GGA level of DFT.

## Properties
formation enthalpy at 0 K: -0.310 eV per atom
N(E_F): 1.10 states/eV/atom
symmetry: No. 36

Unit cell a=8.2276 b=8.2578 c=8.2578 alpha=100.31 beta=90.00 gamma=90.00
Fractional coordinates of all 20 atoms:
Pm: 0.0310 0.3297 0.6703
Pm: 0.5310 0.6703 0.3297
Er: 0.1674 0.7332 0.5984
Er: 0.0122 0.7769 0.2231
Er: 0.3081 0.0557 0.4081
Er: 0.6674 0.5984 0.7332
Er: 0.8081 0.9443 0.5919
Er: 0.8081 0.4081 0.0557
Er: 0.1875 0.0340 0.9660
Er: 0.6875 0.9660 0.0340
Er: 0.3081 0.5919 0.9443
Er: 0.1674 0.4016 0.2668
Er: 0.6674 0.2668 0.4016
Er: 0.5122 0.2231 0.7769
Ga: 0.4689 0.8786 0.7197
Ga: 0.4689 0.2803 0.1214
Ga: 0.3657 0.4289 0.5711
Ga: 0.8657 0.5711 0.4289
Ga: 0.9689 0.7197 0.8786
Ga: 0.9689 0.1214 0.2803

***

Computed, not measured: a relaxed structure of PmErGa at the PBE-GGA level of DFT.

## Properties
formation enthalpy at 0 K: -0.277 eV per atom
polymorph energy (0 for the lowest one): 0.133 eV/atom
N(E_F): 0.45 states/eV/atom
symmetry: No. 156

Unit cell a=3.7214 b=4.9936 c=4.9936 alpha=120.00 beta=90.00 gamma=90.00
Fractional coordinates of all 3 atoms:
Ga: 0.0565 0.0000 0.0000
Er: 0.2397 0.6667 0.3333
Pm: 0.7038 0.3333 0.6667

***

Computed, not measured: a relaxed structure of Pm6ErGa2 at the PBE-GGA level of DFT.

## Properties
formation enthalpy at 0 K: -0.241 eV per atom
N(E_F): 1.02 states/eV/atom
symmetry: No. 12

Unit cell a=3.7276 b=6.6404 c=11.6791 alpha=76.20 beta=80.82 gamma=73.70
Fractional coordinates of all 9 atoms:
Pm: 0.3096 0.7869 0.5938
Pm: 0.6904 0.2131 0.4062
Pm: 0.9722 0.7313 0.3244
Pm: 0.0278 0.2687 0.6756
Pm: 0.3119 0.5000 0.8761
Pm: 0.6881 0.5000 0.1239
Ga: 0.3569 0.0946 0.1915
Ga: 0.6431 0.9054 0.8085
Er: 0.0000 0.0000 0.0000

***

Computed, not measured: a relaxed structure of Pm2Er2Ga3 at the PBE-GGA level of DFT.

## Properties
formation enthalpy at 0 K: -0.439 eV per atom
N(E_F): 0.74 states/eV/atom
symmetry: No. 2

Unit cell a=3.9807 b=8.2291 c=5.6205 alpha=81.32 beta=88.67 gamma=94.06
Fractional coordinates of all 7 atoms:
Ga: 0.2454 0.5385 0.6276
Ga: 0.7546 0.4615 0.3724
Ga: 0.0000 0.0000 0.0000
Er: 0.6978 0.3213 0.9188
Er: 0.3022 0.6787 0.0812
Pm: 0.7724 0.8258 0.5387
Pm: 0.2276 0.1742 0.4613

***

Computed, not measured: a relaxed structure of PmErGa2Pt5 at the PBE-GGA level of DFT.

## Properties
formation enthalpy at 0 K: -0.908 eV per atom
N(E_F): 0.43 states/eV/atom
symmetry: No. 123

Unit cell a=4.2044 b=4.2044 c=9.3583 alpha=90.00 beta=90.00 gamma=90.00
Fractional coordinates of all 9 atoms:
Pt: 0.5000 0.5000 0.5000
Pt: 0.5000 0.0000 0.7296
Pt: 0.0000 0.5000 0.7296
Pt: 0.0000 0.5000 0.2704
Pt: 0.5000 0.0000 0.2704
Pm: 0.0000 0.0000 0.5000
Ga: 0.5000 0.5000 0.8705
Ga: 0.5000 0.5000 0.1295
Er: 0.0000 0.0000 0.0000

***

Computed, not measured: a relaxed structure of PmErGa5Pt2 at the PBE-GGA level of DFT.

## Properties
formation enthalpy at 0 K: -0.363 eV per atom
N(E_F): 0.55 states/eV/atom
symmetry: No. 123

Unit cell a=4.6929 b=4.6929 c=9.5025 alpha=90.00 beta=90.00 gamma=90.00
Fractional coordinates of all 9 atoms:
Ga: 0.5000 0.5000 0.5000
Ga: 0.5000 0.0000 0.1917
Ga: 0.5000 0.0000 0.8083
Ga: 0.0000 0.5000 0.8083
Ga: 0.0000 0.5000 0.1917
Pm: 0.0000 0.0000 0.5000
Pt: 0.5000 0.5000 0.7428
Pt: 0.5000 0.5000 0.2572
Er: 0.0000 0.0000 0.0000

***

Computed, not measured: a relaxed structure of PmErGa2Pt2 at the PBE-GGA level of DFT.

## Properties
formation enthalpy at 0 K: -1.061 eV per atom
N(E_F): 0.55 states/eV/atom
symmetry: No. 164

Unit cell a=4.4762 b=4.4762 c=7.0660 alpha=90.00 beta=90.00 gamma=120.00
Fractional coordinates of all 6 atoms:
Ga: 0.3333 0.6667 0.2706
Ga: 0.6667 0.3333 0.7294
Pt: 0.6667 0.3333 0.2718
Pt: 0.3333 0.6667 0.7282
Er: 0.0000 0.0000 0.5000
Pm: 0.0000 0.0000 0.0000

***

Computed, not measured: a relaxed structure of Pm2ErGa3Pt4 at the PBE-GGA level of DFT.

## Properties
formation enthalpy at 0 K: -0.993 eV per atom
N(E_F): 0.61 states/eV/atom
symmetry: No. 115

Unit cell a=4.2209 b=4.2209 c=11.4752 alpha=90.00 beta=90.00 gamma=90.00
Fractional coordinates of all 10 atoms:
Ga: 0.5000 0.0000 0.8744
Ga: 0.0000 0.0000 0.5000
Ga: 0.0000 0.5000 0.1256
Pt: 0.0000 0.5000 0.3436
Pt: 0.5000 0.0000 0.6564
Pt: 0.0000 0.0000 0.0000
Pt: 0.5000 0.5000 0.0000
Pm: 0.5000 0.0000 0.2283
Pm: 0.0000 0.5000 0.7717
Er: 0.5000 0.5000 0.5000

***

Computed, not measured: a relaxed structure of Pm2ErGa4Pt3 at the PBE-GGA level of DFT.

## Properties
formation enthalpy at 0 K: -0.890 eV per atom
N(E_F): 0.73 states/eV/atom
symmetry: No. 115

Unit cell a=4.2228 b=4.2228 c=11.6393 alpha=90.00 beta=90.00 gamma=90.00
Fractional coordinates of all 10 atoms:
Ga: 0.5000 0.5000 0.0000
Ga: 0.0000 0.5000 0.3359
Ga: 0.5000 0.0000 0.6641
Ga: 0.0000 0.0000 0.0000
Pt: 0.0000 0.0000 0.5000
Pt: 0.0000 0.5000 0.1246
Pt: 0.5000 0.0000 0.8754
Pm: 0.5000 0.0000 0.2274
Pm: 0.0000 0.5000 0.7726
Er: 0.5000 0.5000 0.5000

***

Computed, not measured: a relaxed structure of PmErGaPt at the PBE-GGA level of DFT.

## Properties
formation enthalpy at 0 K: -0.820 eV per atom
polymorph energy (0 for the lowest one): 0.087 eV/atom
N(E_F): 0.74 states/eV/atom
symmetry: No. 216

Unit cell a=5.0539 b=5.0539 c=5.0539 alpha=60.00 beta=60.00 gamma=60.00
Fractional coordinates of all 4 atoms:
Er: 0.5000 0.5000 0.5000
Pm: 0.0000 0.0000 0.0000
Pt: 0.7500 0.7500 0.7500
Ga: 0.2500 0.2500 0.2500

***

Computed, not measured: a relaxed structure of PmErGaPt at the PBE-GGA level of DFT.

## Properties
formation enthalpy at 0 K: -0.907 eV per atom
polymorph energy (0 for the lowest one): 0.000 eV/atom
N(E_F): 0.95 states/eV/atom
symmetry: No. 38

Unit cell a=3.8407 b=4.3721 c=5.9154 alpha=90.00 beta=108.94 gamma=90.00
Fractional coordinates of all 4 atoms:
Er: 0.1385 0.0000 0.2769
Pm: 0.8526 0.5000 0.7053
Pt: 0.5805 0.5000 0.1611
Ga: 0.4284 0.0000 0.8568

***

Computed, not measured: a relaxed structure of PmErGa2Rh2 at the PBE-GGA level of DFT.

## Properties
formation enthalpy at 0 K: -0.814 eV per atom
N(E_F): 0.72 states/eV/atom
symmetry: No. 164

Unit cell a=4.4098 b=4.4098 c=7.1397 alpha=90.00 beta=90.00 gamma=120.00
Fractional coordinates of all 6 atoms:
Rh: 0.6667 0.3333 0.2835
Rh: 0.3333 0.6667 0.7165
Ga: 0.6667 0.3333 0.7305
Ga: 0.3333 0.6667 0.2695
Pm: 0.0000 0.0000 0.0000
Er: 0.0000 0.0000 0.5000

***

Computed, not measured: a relaxed structure of PmErScGa at the PBE-GGA level of DFT.

## Properties
formation enthalpy at 0 K: -0.142 eV per atom
N(E_F): 1.28 states/eV/atom
symmetry: No. 216

Unit cell a=5.2361 b=5.2361 c=5.2361 alpha=60.00 beta=60.00 gamma=60.00
Fractional coordinates of all 4 atoms:
Ga: 0.2500 0.2500 0.2500
Sc: 0.7500 0.7500 0.7500
Pm: 0.5000 0.5000 0.5000
Er: 0.0000 0.0000 0.0000

***

Computed, not measured: a relaxed structure of PmSmErGa at the PBE-GGA level of DFT.

## Properties
formation enthalpy at 0 K: -0.043 eV per atom
N(E_F): 1.39 states/eV/atom
symmetry: No. 216

Unit cell a=5.3773 b=5.3773 c=5.3773 alpha=60.00 beta=60.00 gamma=60.00
Fractional coordinates of all 4 atoms:
Ga: 0.2500 0.2500 0.2500
Er: 0.5000 0.5000 0.5000
Pm: 0.7500 0.7500 0.7500
Sm: 0.0000 0.0000 0.0000

***

Computed, not measured: a relaxed structure of PmErTmGa at the PBE-GGA level of DFT.

## Properties
formation enthalpy at 0 K: -0.095 eV per atom
N(E_F): 1.68 states/eV/atom
symmetry: No. 216

Unit cell a=5.3253 b=5.3253 c=5.3253 alpha=60.00 beta=60.00 gamma=60.00
Fractional coordinates of all 4 atoms:
Ga: 0.2500 0.2500 0.2500
Tm: 0.7500 0.7500 0.7500
Pm: 0.0000 0.0000 0.0000
Er: 0.5000 0.5000 0.5000

***

Computed, not measured: a relaxed structure of PmEr2Zn2Ga2 at the PBE-GGA level of DFT.

## Properties
formation enthalpy at 0 K: -0.402 eV per atom
N(E_F): 0.53 states/eV/atom
symmetry: No. 166

Unit cell a=4.4597 b=4.4597 c=9.5107 alpha=76.44 beta=76.44 gamma=60.00
Fractional coordinates of all 7 atoms:
Ga: 0.7419 0.7419 0.7742
Ga: 0.2581 0.2581 0.2258
Zn: 0.4032 0.4032 0.7903
Zn: 0.5968 0.5968 0.2097
Er: 0.8719 0.8719 0.3844
Er: 0.1281 0.1281 0.6156
Pm: 0.0000 0.0000 0.0000